Record 1
5
Lattice="4.6480 0.0000 0.0000 0.0000 4.6480 0.0000 0.0000 0.0000 4.3500" Properties=species:S:1:pos:R:3 comment="PBE LiV2AuBr, optimized geometry" dft_energy_ev_per_cell=-22.09 sg="P4/mmm, No. 123" crystal_system=tetragonal vol_a3_per_atom=18.80 formation_energy_uncorrected_ev_per_atom=0.60 dos_at_fermi_per_ev_atom=1.39 pbc="T T T"
Li 0.0000 0.0000 0.0000
V 0.0000 2.3240 2.1750
V 2.3240 0.0000 2.1750
Au 2.3240 2.3240 0.0000
Br 0.0000 0.0000 2.1750



Record 2
11
Lattice="6.1201 -5.1213 0.0000 6.1201 5.1213 0.0000 -2.5834 0.0000 6.6590" Properties=species:S:1:pos:R:3 comment="PBE MgAu2Br8, optimized geometry" dft_energy_ev_per_cell=-25.32 sg="C2/m, No. 12" crystal_system=monoclinic vol_a3_per_atom=37.95 formation_energy_uncorrected_ev_per_atom=-0.34 dos_at_fermi_per_ev_atom=0.46 pbc="T T T"
Mg 0.0000 0.0000 0.0000
Au 0.2354 0.0000 4.1309
Au 9.4214 0.0000 2.5281
Br 4.5100 3.3509 1.1406
Br 1.7407 0.0000 2.2045
Br 5.1468 3.3509 5.5184
Br 2.5418 0.0000 5.9813
Br 7.1150 0.0000 0.6776
Br 4.5100 -3.3509 1.1406
Br 7.9161 0.0000 4.4545
Br 5.1468 -3.3509 5.5184